No. 1
YHo3Bi | PBE | optimized geometry

Calculated values
- DFT total energy: -100.9 eV per cell
- Energy of formation from the pure elements: -0.2285 eV per atom
- Total magnetization: 0.00 μB/f.u.
- DOS(E_F): 22.2 states/eV/cell

Cell and atoms, written as extended XYZ:
```
20
Lattice="8.5327 0.0000 0.0000 0.0000 8.9839 -0.9252 0.0000 -4.1571 8.5445" Properties=species:S:1:pos:R:3 pbc="T T T"
Bi 2.1291 4.1628 7.2942
Ho 5.0278 7.2926 0.8990
Ho 5.8811 -0.1916 7.8272
Y 7.9802 5.2013 1.7499
Y 3.7139 1.7041 1.5971
Ho 3.5049 -2.4657 6.7203
Ho 7.9729 2.5218 7.2672
Y 4.8188 3.1227 6.0222
Ho 0.5598 2.3051 0.3521
Ho 0.7614 -0.3871 2.4480
Bi 6.4035 0.6640 0.3251
Ho 1.6148 2.9399 4.0644
Y 0.5525 -0.3744 5.8694
Bi 6.3955 -1.4145 4.5974
Ho 4.8262 4.6003 2.9949
Ho 6.9179 1.8870 3.5549
Bi 2.1372 6.2414 3.0219
Ho 2.6515 5.0184 -0.2079
Ho 7.7712 5.2140 5.1713
Ho 3.7065 0.2265 4.6244
```

No. 2
BeFe2P | PBE | optimized geometry

Calculated values
- DFT total energy: -27.5 eV per cell
- Energy of formation from the pure elements: -0.3537 eV per atom
- Total magnetization: 0.23 μB/f.u.
- DOS(E_F): 3.8 states/eV/cell
- Offset from the most stable computed form: 89 meV per atom

Cell and atoms, written as extended XYZ:
```
4
Lattice="-1.1434 -1.9301 1.4805 2.9610 -0.0062 2.2788 -1.6329 2.6004 2.1289" Properties=species:S:1:pos:R:3 pbc="T T T"
Fe 0.0000 0.0000 0.0000
Be -1.3882 0.3351 1.8047
P 0.9088 -0.9681 1.8796
Fe 0.6640 1.2971 2.2038
```

No. 3
HgPtRh | PBE | optimized geometry

Calculated values
- DFT total energy: -12.9 eV per cell
- Energy of formation from the pure elements: 0.2617 eV per atom
- Total magnetization: 0.00 μB/f.u.
- DOS(E_F): 3.7 states/eV/cell
- Offset from the most stable computed form: 137 meV per atom

Cell and atoms, written as extended XYZ:
```
3
Lattice="0.3063 3.2914 6.3619 -2.2946 2.1768 6.2092 1.6895 -1.6108 1.6067" Properties=species:S:1:pos:R:3 pbc="T T T"
Rh 0.4774 0.7222 5.2201
Hg -1.9805 5.4533 12.5480
Pt -0.7840 3.1502 8.9808
```

No. 4
Mg2FeAg | PBE | optimized geometry

Calculated values
- DFT total energy: -14.3 eV per cell
- Energy of formation from the pure elements: 0.0577 eV per atom
- Total magnetization: 2.32 μB/f.u.
- DOS(E_F): 2.4 states/eV/cell

Cell and atoms, written as extended XYZ:
```
4
Lattice="-0.7174 2.8149 -0.2457 -2.8359 -0.7197 0.0350 -2.9443 -0.0578 7.9347" Properties=species:S:1:pos:R:3 pbc="T T T"
Fe -4.6938 0.8243 5.8545
Mg -2.9410 -0.0676 7.8135
Ag -1.8037 1.2131 1.8696
Mg -2.8934 -0.3790 4.1060
```